CsK2MnF5 | PBE with a Hubbard U | relaxed

Calculated values
* raw total energy: -4.89 eV per atom
* space group: No. 140
* density of states at the Fermi level: 0.000 states/eV per atom

Cell lengths 7.565, 7.565, 8.284 Å; angles 117.17, 117.17, 90.00 degrees
Each line ends with the local moment (μB).
Fractional positions:
Mn 0.250 0.750 0.500  4.60
F 0.506 0.286 0.291  0.03
K 0.817 0.683 0.000  0.00
F 0.714 0.214 0.709  0.03
F 0.994 0.494 0.709  0.03
F 0.006 0.506 0.291  0.03
F 0.494 0.714 0.709  0.03
K 0.683 0.183 0.000  0.00
F 0.000 0.000 0.000  -0.04
Mn 0.750 0.250 0.500  4.60
F 0.500 0.500 0.000  -0.04
F 0.286 0.786 0.291  0.03
Cs 0.750 0.750 0.500  0.00
Cs 0.250 0.250 0.500  0.00
K 0.183 0.317 0.000  0.00
F 0.786 0.006 0.291  0.03
F 0.214 0.994 0.709  0.03
K 0.317 0.817 0.000  0.00